No. 1
PBE-GGA Nd2Si3Pd2, relaxed; calculated volume = 19.4 Å³ per atom; calculated total energy = -6.04 eV/atom; energy relative to the elements, uncorrected = -872 meV/atom; magnetic moment = 0.000 μB per cell; relative energy among the computed polymorphs = 0.00 eV per formula unit; DOS(E_F) = 6.30 states/eV per cell
1.0
2.144 -9.063 0.000
2.144 9.063 0.000
0.000 0.000 6.989
Nd Si Pd
4 6 4
Cartesian
2.144 8.068 5.242
2.144 6.260 1.747
2.144 -6.260 5.242
2.144 -8.068 1.747
2.144 4.998 5.242
2.144 1.075 4.005
2.144 1.075 6.478
2.144 -1.075 0.511
2.144 -1.075 2.984
2.144 -4.998 1.747
2.144 3.496 0.340
2.144 3.496 3.154
2.144 -3.496 3.835
2.144 -3.496 6.649

=====

No. 2
PBE-GGA Ac4Ce3NdSe8, relaxed; calculated volume = 28.9 Å³ per atom; calculated total energy = -6.02 eV/atom; energy relative to the elements, uncorrected = -1836 meV/atom; magnetic moment = 3.052 μB per cell; DOS(E_F) = 22.28 states/eV per cell
1.0
4.329 2.499 7.133
-4.329 2.499 7.133
0.000 -4.998 7.133
Ac Ce Nd Se
4 3 1 8
Cartesian
0.000 0.000 0.000
-2.164 -1.250 7.133
-2.164 1.250 14.267
0.000 2.499 7.133
-4.329 0.000 10.700
-2.164 1.250 3.567
2.164 1.250 3.567
0.000 0.000 10.700
0.000 0.000 5.231
-2.170 -1.253 12.368
0.000 -2.506 9.032
-2.170 1.253 9.032
2.170 -1.253 12.368
0.000 2.506 12.368
2.170 1.253 9.032
0.000 0.000 16.169

=====

No. 3
PBE-GGA Li12TmCd6, relaxed; calculated volume = 20.9 Å³ per atom; calculated total energy = -1.85 eV/atom; magnetic moment = 0.000 μB per cell; DOS(E_F) = 7.63 states/eV per cell; energy of formation = -2.28 eV/f.u.
1.0
5.162 2.980 4.300
-5.162 2.980 4.300
0.000 -5.961 4.300
Li Tm Cd
12 1 6
Cartesian
-1.444 -4.466 5.337
-4.590 -0.983 7.564
-1.152 -1.471 3.900
-3.146 3.483 5.337
-0.698 1.733 3.900
1.849 -0.262 3.900
-1.849 0.262 9.000
0.698 -1.733 9.000
3.146 -3.483 7.564
1.152 1.471 9.000
4.590 0.983 5.337
1.444 4.466 7.564
0.000 0.000 6.450
-2.098 -2.154 6.903
-2.915 0.740 5.997
0.817 -2.894 5.997
-0.817 2.894 6.903
2.915 -0.740 6.903
2.098 2.154 5.997

=====

No. 4
PBE-GGA Sc2Tl3Cd3, relaxed; calculated volume = 23.3 Å³ per atom; calculated total energy = -2.97 eV/atom; magnetic moment = 0.000 μB per cell; DOS(E_F) = 4.85 states/eV per cell; energy of formation = -1.25 eV/f.u.
1.0
4.517 0.000 0.000
0.000 4.676 0.000
0.000 0.000 8.806
Sc Tl Cd
2 3 3
Cartesian
0.000 0.000 2.190
0.000 0.000 6.616
0.000 2.338 0.000
2.258 0.000 0.000
2.258 0.000 4.403
0.000 2.338 4.403
2.258 2.338 2.281
2.258 2.338 6.526

=====

No. 5
PBE-GGA Tb2Nd8Sc, relaxed; calculated volume = 34.1 Å³ per atom; calculated total energy = -4.77 eV/atom; magnetic moment = 0.000 μB per cell; relative energy among the computed polymorphs = 0.00 eV per formula unit; DOS(E_F) = 17.03 states/eV per cell; energy of formation = 1.23 eV/f.u.
1.0
-2.866 4.010 8.169
2.866 -4.010 8.169
2.866 4.010 -8.169
Tb Nd Sc
2 8 1
Cartesian
0.000 0.000 3.264
0.000 0.000 13.074
2.866 1.674 -2.140
0.000 1.749 0.000
2.866 0.000 5.440
2.866 1.674 2.140
0.000 2.336 6.029
0.000 4.010 2.729
0.000 6.270 0.000
0.000 2.336 10.309
0.000 0.000 8.169

=====

No. 6
PBE-GGA NbZnCoIr, relaxed; calculated volume = 14.2 Å³ per atom; calculated total energy = -7.15 eV/atom; magnetic moment = 0.000 μB per cell; DOS(E_F) = 2.02 states/eV per cell; energy of formation = -1.30 eV/f.u.
1.0
-2.005 2.005 3.540
2.005 -2.005 3.540
2.005 2.005 -3.540
Nb Zn Co Ir
1 1 1 1
Cartesian
0.000 0.000 0.000
0.000 0.000 3.540
2.005 0.000 1.770
0.000 2.005 1.770